No. 1
VASP calculation (PBE) on a relaxed Pm6DyY2Tm crystal.

Summary:
Final energy   -4.93 eV per atom
Total magnetization   0.00 μB per cell

Cell lengths 9.548, 8.939, 8.939 Å; angles 117.43, 93.37, 93.37 degrees
Fractional positions:
Pm: 0.944 0.881 0.237
Pm: 0.444 0.237 0.881
Pm: 0.883 0.291 0.514
Pm: 0.689 0.009 0.564
Pm: 0.811 0.436 0.991
Pm: 0.056 0.119 0.763
Pm: 0.556 0.763 0.119
Pm: 0.189 0.564 0.009
Pm: 0.383 0.514 0.291
Pm: 0.311 0.991 0.436
Pm: 0.117 0.709 0.486
Pm: 0.617 0.486 0.709
Dy: 0.750 0.029 0.971
Dy: 0.250 0.971 0.029
Y: 0.953 0.700 0.797
Y: 0.047 0.300 0.203
Y: 0.547 0.203 0.300
Y: 0.453 0.797 0.700
Tm: 0.750 0.588 0.412
Tm: 0.250 0.412 0.588

No. 2
VASP calculation (PBE) on a relaxed Pm5Dy2YTm crystal.

Summary:
Final energy   -4.73 eV per atom
Total magnetization   0.00 μB per cell

Cell lengths 5.643, 10.553, 10.632 Å; angles 90.00, 90.00, 105.51 degrees
Fractional positions:
Tm: 0.801 0.602 0.511
Tm: 0.199 0.398 0.011
Dy: 0.887 0.774 0.237
Dy: 0.886 0.771 0.811
Dy: 0.114 0.229 0.311
Dy: 0.113 0.226 0.737
Pm: 0.279 0.557 0.313
Pm: 0.482 0.965 0.743
Pm: 0.298 0.596 0.708
Pm: 0.616 0.231 0.522
Pm: 0.702 0.404 0.208
Pm: 0.016 0.032 0.017
Pm: 0.984 0.968 0.517
Pm: 0.518 0.035 0.243
Pm: 0.384 0.769 0.022
Pm: 0.721 0.443 0.813
Y: 0.592 0.185 0.961
Y: 0.408 0.815 0.461

No. 3
VASP calculation (PBE) on a relaxed Pm2Dy2Y6Tm crystal.

Summary:
Final energy   -5.49 eV per atom
Total magnetization   0.00 μB per cell

Cell lengths 6.657, 6.657, 12.018 Å; angles 101.57, 101.57, 129.60 degrees
Fractional positions:
Dy: 0.293 0.707 0.500
Dy: 0.707 0.293 0.500
Pm: 0.866 0.134 0.000
Pm: 0.134 0.866 0.000
Tm: 0.000 0.000 0.500
Y: 0.444 0.139 0.791
Y: 0.861 0.556 0.209
Y: 0.703 0.703 0.703
Y: 0.556 0.861 0.209
Y: 0.139 0.444 0.791
Y: 0.297 0.297 0.297

No. 4
VASP calculation (PBE) on a relaxed PmDyY5Tm2 crystal.

Summary:
Final energy   -5.47 eV per atom
Total magnetization   0.00 μB per cell

Cell lengths 5.612, 10.451, 10.473 Å; angles 90.00, 90.00, 105.58 degrees
Fractional positions:
Pm: 0.196 0.393 0.015
Pm: 0.804 0.607 0.515
Tm: 0.887 0.775 0.818
Tm: 0.113 0.225 0.318
Tm: 0.889 0.778 0.236
Tm: 0.111 0.222 0.736
Y: 0.016 0.032 0.023
Y: 0.611 0.222 0.525
Y: 0.389 0.778 0.025
Y: 0.722 0.444 0.815
Y: 0.278 0.556 0.315
Y: 0.478 0.956 0.737
Y: 0.699 0.398 0.205
Y: 0.522 0.044 0.237
Y: 0.984 0.968 0.523
Y: 0.301 0.602 0.705
Dy: 0.413 0.825 0.449
Dy: 0.587 0.175 0.949

No. 5
VASP calculation (PBE) on a relaxed Pm4DyY2Tm2 crystal.

Summary:
Final energy   -5.03 eV per atom
Total magnetization   0.00 μB per cell

Cell lengths 5.065, 8.022, 8.016 Å; angles 107.43, 90.00, 108.40 degrees
Fractional positions:
Y: 0.888 0.777 0.331
Y: 0.112 0.223 0.669
Tm: 0.667 0.335 0.000
Tm: 0.333 0.665 0.000
Dy: 0.000 0.000 0.000
Pm: 0.445 0.891 0.670
Pm: 0.222 0.444 0.331
Pm: 0.555 0.109 0.330
Pm: 0.778 0.556 0.669

No. 6
VASP calculation (PBE) on a relaxed Pm2DyYTm5 crystal.

Summary:
Final energy   -4.50 eV per atom
Total magnetization   0.00 μB per cell

Cell lengths 8.593, 8.593, 9.811 Å; angles 115.97, 115.97, 90.00 degrees
Fractional positions:
Tm: 0.350 0.850 0.278
Tm: 0.928 0.428 0.278
Tm: 0.650 0.150 0.722
Tm: 0.572 0.650 0.722
Tm: 0.500 0.500 0.000
Tm: 0.850 0.928 0.278
Tm: 0.072 0.572 0.722
Tm: 0.428 0.350 0.278
Tm: 0.000 0.000 0.000
Tm: 0.150 0.072 0.722
Y: 0.750 0.750 0.500
Y: 0.250 0.250 0.500
Pm: 0.117 0.383 0.000
Pm: 0.617 0.117 0.000
Pm: 0.383 0.883 0.000
Pm: 0.883 0.617 0.000
Dy: 0.250 0.750 0.500
Dy: 0.750 0.250 0.500

No. 7
VASP calculation (PBE) on a relaxed Pm2Dy6Y3Tm crystal.

Summary:
Final energy   -5.06 eV per atom
Total magnetization   0.00 μB per cell

Cell lengths 6.168, 6.168, 11.816 Å; angles 94.97, 94.97, 119.96 degrees
Fractional positions:
Dy: 0.248 0.248 0.749
Dy: 0.584 0.916 0.749
Dy: 0.416 0.084 0.251
Dy: 0.752 0.752 0.251
Dy: 0.916 0.584 0.749
Dy: 0.084 0.416 0.251
Y: 0.834 0.166 0.500
Y: 0.500 0.500 0.500
Y: 0.166 0.834 0.500
Pm: 0.333 0.667 0.000
Pm: 0.667 0.333 0.000
Tm: 0.000 0.000 0.000

No. 8
VASP calculation (PBE) on a relaxed Pm2Dy6YTm3 crystal.

Summary:
Final energy   -4.73 eV per atom
Total magnetization   0.00 μB per cell

Cell lengths 6.145, 6.145, 11.762 Å; angles 94.98, 94.98, 119.95 degrees
Fractional positions:
Dy: 0.582 0.915 0.746
Dy: 0.915 0.582 0.746
Dy: 0.418 0.085 0.254
Dy: 0.248 0.248 0.746
Dy: 0.752 0.752 0.254
Dy: 0.085 0.418 0.254
Pm: 0.333 0.667 0.000
Pm: 0.667 0.333 0.000
Tm: 0.166 0.834 0.500
Tm: 0.500 0.500 0.500
Tm: 0.834 0.166 0.500
Y: 0.000 0.000 0.000